VASP calculation (GGA-PBE) on a relaxed structure of NaCdPO4.

DOS at the Fermi energy ... 0.00 states/eV/cell
Space group ... No. 63
Electronic total energy ... -5.8831 eV/atom

Geometry as CIF:
```
data_NaCdPO4
_space_group_name_H-M_alt 'P 1'
_space_group_IT_number 1
_cell_length_a 5.516
_cell_length_b 5.516
_cell_length_c 6.572
_cell_angle_alpha 90.00
_cell_angle_beta 90.00
_cell_angle_gamma 114.79
loop_
_space_group_symop_operation_xyz
'x,y,z'
loop_
_atom_site_label
_atom_site_fract_x
_atom_site_fract_y
_atom_site_fract_z
O1 0.752 0.248 0.562
Cd1 0.172 0.828 0.750
O2 0.743 0.834 0.750
O3 0.248 0.752 0.438
O4 0.166 0.257 0.750
O5 0.752 0.248 0.938
Na1 0.500 0.500 0.000
Na2 0.500 0.500 0.500
Cd2 0.828 0.172 0.250
O6 0.248 0.752 0.062
O7 0.834 0.743 0.250
O8 0.257 0.166 0.250
P1 0.145 0.855 0.250
P2 0.855 0.145 0.750
```